Material: Rb3BCl6
Method: DFT, PBE
State: relaxed

The structure belongs to space group P2_1/c (No. 14); the cell edges are 8.717, 7.929 and 10.950 Å and the angles 90.00°, 121.44° and 90.00°. The inequivalent atoms are Rb at (0.000, 0.000, 0.000), Rb at (0.243, 0.014, 0.745), B at (0.500, 0.000, 0.500), Cl at (0.148, 0.180, 0.407), Cl at (0.346, 0.717, 0.540) and Cl at (0.421, 0.561, 0.831).

The distance to the lowest polymorph of the same formula comes out at 0.276 eV/atom. For the total energy, the calculation gives -3.318 eV per atom.